A plane-wave DFT calculation with PBE with a Hubbard U was carried out for a geometry-optimized PrCoPO structure.

Calculated values
Offset from the most stable computed form, meV per atom: 0
SG: P4/nmm (129)

The structure in POSCAR format:
```
PrCoPO
1.0
3.958 0.000 0.000
0.000 3.958 0.000
0.000 0.000 8.084
Pr Co P O
2 2 2 2
direct
0.250 0.250 0.154 Pr
0.750 0.750 0.846 Pr
0.250 0.750 0.500 Co
0.750 0.250 0.500 Co
0.250 0.250 0.623 P
0.750 0.750 0.377 P
0.250 0.750 0.000 O
0.750 0.250 0.000 O
```